1.
DFT (PBE-GGA) results for an optimized crystal structure of TbMnH4.

Cell: 5.0078 4.1873 6.1013 Å, 107.52 112.03 95.89°
Last column: nearest neighbours and their distance in Å.
Atoms (fractional coordinates):
Tb  0.3656  0.6156  0.2312  8 H 2.18-2.26
Tb  0.6344  0.3844  0.7688  8 H 2.18-2.26
Mn  0.0811  0.8311  0.6623  6 H 1.68-1.78
Mn  0.9189  0.1689  0.3377  6 H 1.68-1.78
H  0.9356  0.2636  0.0932  1 Mn 1.68
H  0.6576  0.8296  0.0932  1 Mn 1.68
H  0.2361  0.5220  0.5287  2 Mn 1.73-1.78
H  0.7639  0.4780  0.4713  2 Mn 1.73-1.78
H  0.2073  0.9933  0.4713  2 Mn 1.73-1.78
H  0.3424  0.1704  0.9068  1 Mn 1.68
H  0.7927  0.0067  0.5287  2 Mn 1.73-1.78
H  0.0644  0.7364  0.9068  1 Mn 1.68

space group: C2/c, No. 15
crystal system: monoclinic
E_tot: -28.77 eV/f.u.



2.
DFT (PBE-GGA) results for an optimized crystal structure of Tb2MnH.

Cell: 3.3741 3.3741 8.8258 Å, 78.98 78.98 60.00°
Last column: nearest neighbours and their distance in Å.
Atoms (fractional coordinates):
H  0.5000  0.5000  0.5000  6 Tb 2.39
Mn  0.0000  0.0000  0.0000  2 Tb 2.92
Tb  0.1130  0.1130  0.6610  3 H 2.39
Tb  0.8870  0.8870  0.3390  3 H 2.39

space group: R-3m, No. 166
crystal system: trigonal
E_tot: -20.45 eV/f.u.



3.
DFT (PBE-GGA) results for an optimized crystal structure of TbMnH.

Cell: 3.0638 3.3992 8.2590 Å, 90.00 100.69 90.00°
Last column: nearest neighbours and their distance in Å.
Atoms (fractional coordinates):
H  0.4505  0.2500  0.9009  2 H 2.34, 4 Tb 2.42
H  0.5495  0.7500  0.0991  2 H 2.34, 4 Tb 2.42
Mn  0.7554  0.2500  0.5107  4 Mn 2.29
Mn  0.2446  0.7500  0.4893  4 Mn 2.29
Tb  0.9025  0.7500  0.8049  4 H 2.42
Tb  0.0975  0.2500  0.1951  4 H 2.42

space group: Cmcm, No. 63
crystal system: orthorhombic
E_tot: -16.92 eV/f.u.